Here is a relaxed structure of LaNdGaOs from the Alexandria database. Energies are from PBE.

abc: 5.142 5.142 5.142
angles: 60.00 60.00 60.00
Fractional positions:
1 Nd 0.000 0.000 0.000
2 Os 0.750 0.750 0.750
3 Ga 0.250 0.250 0.250
4 La 0.500 0.500 0.500

Output
For the total energy, the calculation gives -6.166 eV per atom. The calculation puts the formation energy at -0.178 eV per atom. The space-group type is F-43m (216).